Below is a geometry-optimized PaTcTe2 structure, with properties calculated at the PBE level.

abc: 10.3102 10.3102 10.3102
angles: 18.52 18.52 18.52
Last column: nearest neighbours and their distance in Å.
Sites, in units of the cell vectors:
Pa 0.0000 0.0000 0.0000  6 Te 3.16, 6 Pa 3.32
Tc 0.5000 0.5000 0.5000  2 Te 2.56
Te 0.4159 0.4159 0.4159  1 Tc 2.56
Te 0.5841 0.5841 0.5841  1 Tc 2.56

Its total magnetic moment is 0.00 μB/f.u. Its calculated volume is 24.2 A^3/atom. For the density of states at the Fermi level, the calculation gives 5.82 states/eV/cell. The calculation puts the formation energy (no corrections) at 141 kJ/mol of formula units.